Below is a relaxed structure of K8Na2Pb, with properties calculated at the GGA-PBE level.

It has space group C2/m (No. 12), with a = 22.377 Å, b = 6.685 Å, c = 8.998 Å, α = 90.00°, β = 110.44° and γ = 90.00°. Symmetry generates all atoms from K at (0.017, 0.000, 0.298), K at (0.096, 0.500, 0.917), K at (0.149, 0.500, 0.434), K at (0.190, 0.000, 0.756), Na at (0.185, 0.000, 0.196) and Pb at (0.000, 0.500, 0.500).

The formation energy is -0.015 eV/atom. For the density of states at the Fermi level, the calculation gives 13.9 states/eV/cell. The raw total energy comes out at -1.390 eV per atom. Its distance to the lowest polymorph of the same formula is 0 meV/atom.



Below is a relaxed structure of MnNb2VTc, with properties calculated at the GGA-PBE level.

It has space group P4/mmm (No. 123), with a = 4.803 Å, b = 4.803 Å, c = 4.340 Å, α = 90.00°, β = 90.00° and γ = 90.00°. Symmetry generates all atoms from Mn at (0.000, 0.000, 0.000), Nb at (0.000, 0.500, 0.500), V at (0.500, 0.500, 0.000) and Tc at (0.500, 0.500, 0.500).

The formation energy is 1.524 eV/atom. For the density of states at the Fermi level, the calculation gives 10.4 states/eV/cell. The raw total energy comes out at -8.235 eV per atom.



Which value of raw total energy does entry 1 give?
-1.390 eV per atom



What is the formula in the first record?
K8Na2Pb



Which formula does entry 2 have?
MnNb2VTc



What is the formula in the second record?
MnNb2VTc